Ho6TcPb2, relaxed, DFT PBE; total magnetic moment = 0.0 μB per cell; ΔH_f (0 K) = -345 meV per atom; raw total energy = -48.356 eV/f.u.
1.0
-3.224 -2.444 1.669
5.424 -5.640 2.219
-1.923 6.028 5.113
Tc Pb Ho
1 2 6
direct
0.500 0.000 0.000 Tc
0.000 0.667 0.333 Pb
0.000 0.333 0.667 Pb
0.500 0.397 0.397 Ho
0.000 0.239 0.000 Ho
0.000 0.761 0.761 Ho
0.500 0.603 0.000 Ho
0.000 0.000 0.239 Ho
0.500 0.000 0.603 Ho